Cd3Sn5Cl12 | PBE-GGA | optimized geometry

Output
The uncorrected formation energy comes out at -13.5 eV per formula unit. The calculated density is 3202 kg/m3. The value obtained for the total energy is -2.923 eV per atom. For the magnetic moment, the calculation gives 0.10 μB per atom.

Cell and atoms, written as CIF:
```
data_Cd3Sn5Cl12
_symmetry_space_group_name_H-M 'I a -3 d'
_symmetry_Int_Tables_number 230
_symmetry_space_group_name_Hall '-I 4bd 2c 3'
_cell_length_a 17.7859
_cell_length_b 17.7859
_cell_length_c 17.7859
_cell_angle_alpha 90.00
_cell_angle_beta 90.00
_cell_angle_gamma 90.00
loop_
_atom_site_label
_atom_site_fract_x
_atom_site_fract_y
_atom_site_fract_z
_atom_site_occupancy
Cd1 0.0000 0.2500 0.1250 1
Sn1 0.0000 0.0000 0.0000 1
Sn2 0.0000 0.2500 0.3750 1
Cl1 0.0317 0.0622 0.6454 1
```



Cd3Sn5Cl16 | PBE-GGA | optimized geometry

Output
The uncorrected formation energy comes out at -24.4 eV per formula unit. The calculated density is 3214 kg/m3. The value obtained for the total energy is -3.196 eV per atom. For the magnetic moment, the calculation gives 0.00 μB per atom.

Cell and atoms, written as CIF:
```
data_Cd3Sn5Cl16
_symmetry_space_group_name_H-M 'C 1 m 1'
_symmetry_Int_Tables_number 8
_symmetry_space_group_name_Hall 'C -2y'
_cell_length_a 14.4512
_cell_length_b 8.1685
_cell_length_c 13.1261
_cell_angle_alpha 90.00
_cell_angle_beta 92.39
_cell_angle_gamma 90.00
loop_
_atom_site_label
_atom_site_fract_x
_atom_site_fract_y
_atom_site_fract_z
_atom_site_occupancy
Cd1 0.0000 0.0000 0.0000 1
Cd2 0.4270 0.2480 0.4923 1
Sn1 0.1621 0.0000 0.2600 1
Sn2 0.1860 0.5000 0.4979 1
Sn3 0.2527 0.2543 0.9964 1
Sn4 0.4984 0.0000 0.7517 1
Cl1 0.0662 0.2656 0.6308 1
Cl2 0.0827 0.2195 0.1291 1
Cl3 0.1480 0.0000 0.8862 1
Cl4 0.1784 0.5000 0.8651 1
Cl5 0.2672 0.2667 0.3857 1
Cl6 0.3154 0.0000 0.1367 1
Cl7 0.3460 0.5000 0.1137 1
Cl8 0.3517 0.5000 0.6044 1
Cl9 0.3534 0.0000 0.6081 1
Cl10 0.4144 0.2608 0.8962 1
Cl11 0.4927 0.0000 0.3868 1
Cl12 0.4985 0.5000 0.3943 1
```



Cd2Sn2Cl | PBE-GGA | optimized geometry

Output
The energy relative to the lowest polymorph listed for this composition is 57 meV/atom. The uncorrected formation energy comes out at -0.2 eV per formula unit. The calculated density is 6056 kg/m3. The value obtained for the total energy is -2.377 eV per atom. For the magnetic moment, the calculation gives 0.00 μB per atom.

Cell and atoms, written as CIF:
```
data_Cd2Sn2Cl
_symmetry_space_group_name_H-M 'I 4/m m m'
_symmetry_Int_Tables_number 139
_symmetry_space_group_name_Hall '-I 4 2'
_cell_length_a 4.2985
_cell_length_b 4.2985
_cell_length_c 14.7714
_cell_angle_alpha 90.00
_cell_angle_beta 90.00
_cell_angle_gamma 90.00
loop_
_atom_site_label
_atom_site_fract_x
_atom_site_fract_y
_atom_site_fract_z
_atom_site_occupancy
Cd1 0.0000 0.5000 0.2500 1
Sn1 0.0000 0.0000 0.1013 1
Cl1 0.0000 0.0000 0.5000 1
```



Cd6Sn4Cl19 | PBE-GGA | optimized geometry

Output
The uncorrected formation energy comes out at -26.8 eV per formula unit. The calculated density is 3604 kg/m3. The value obtained for the total energy is -2.874 eV per atom. For the magnetic moment, the calculation gives 0.00 μB per atom.

Cell and atoms, written as CIF:
```
data_Cd6Sn4Cl19
_symmetry_space_group_name_H-M 'I 2 3'
_symmetry_Int_Tables_number 197
_symmetry_space_group_name_Hall 'I 2 2 3'
_cell_length_a 11.8878
_cell_length_b 11.8878
_cell_length_c 11.8878
_cell_angle_alpha 90.00
_cell_angle_beta 90.00
_cell_angle_gamma 90.00
loop_
_atom_site_label
_atom_site_fract_x
_atom_site_fract_y
_atom_site_fract_z
_atom_site_occupancy
Cd1 0.0000 0.1624 0.5000 1
Sn1 0.1486 0.1486 0.1486 1
Cl1 0.0000 0.0000 0.0000 1
Cl2 0.0000 0.0000 0.3435 1
Cl3 0.0679 0.2847 0.3184 1
```



CdSn2Cl6 | PBE-GGA | optimized geometry

Output
The uncorrected formation energy comes out at -9.1 eV per formula unit. The calculated density is 3780 kg/m3. The value obtained for the total energy is -3.238 eV per atom. For the magnetic moment, the calculation gives 0.00 μB per atom.

Cell and atoms, written as CIF:
```
data_CdSn2Cl6
_symmetry_space_group_name_H-M 'C 1 2/m 1'
_symmetry_Int_Tables_number 12
_symmetry_space_group_name_Hall '-C 2y'
_cell_length_a 12.9013
_cell_length_b 4.0509
_cell_length_c 9.4593
_cell_angle_alpha 90.00
_cell_angle_beta 90.84
_cell_angle_gamma 90.00
loop_
_atom_site_label
_atom_site_fract_x
_atom_site_fract_y
_atom_site_fract_z
_atom_site_occupancy
Cd1 0.0000 0.0000 0.0000 1
Sn1 0.2278 0.5000 0.2957 1
Cl1 0.0773 0.0000 0.2657 1
Cl2 0.1295 0.5000 0.9421 1
Cl3 0.1495 0.5000 0.5567 1
```



CdSnCl3 | PBE-GGA | optimized geometry

Output
The uncorrected formation energy comes out at -3.0 eV per formula unit. The calculated density is 3507 kg/m3. The value obtained for the total energy is -2.701 eV per atom. For the magnetic moment, the calculation gives 0.12 μB per atom.

Cell and atoms, written as CIF:
```
data_CdSnCl3
_symmetry_space_group_name_H-M 'P m -3 m'
_symmetry_Int_Tables_number 221
_symmetry_space_group_name_Hall '-P 4 2 3'
_cell_length_a 5.4267
_cell_length_b 5.4267
_cell_length_c 5.4267
_cell_angle_alpha 90.00
_cell_angle_beta 90.00
_cell_angle_gamma 90.00
loop_
_atom_site_label
_atom_site_fract_x
_atom_site_fract_y
_atom_site_fract_z
_atom_site_occupancy
Cd1 0.0000 0.0000 0.0000 1
Sn1 0.5000 0.5000 0.5000 1
Cl1 0.0000 0.5000 0.5000 1
```



Cd12Sn5Cl3 | PBE-GGA | optimized geometry

Output
The uncorrected formation energy comes out at 0.3 eV per formula unit. The calculated density is 5196 kg/m3. The value obtained for the total energy is -1.811 eV per atom. For the magnetic moment, the calculation gives 0.00 μB per atom.

Cell and atoms, written as CIF:
```
data_Cd12Sn5Cl3
_symmetry_space_group_name_H-M 'I a -3 d'
_symmetry_Int_Tables_number 230
_symmetry_space_group_name_Hall '-I 4bd 2c 3'
_cell_length_a 17.3671
_cell_length_b 17.3671
_cell_length_c 17.3671
_cell_angle_alpha 90.00
_cell_angle_beta 90.00
_cell_angle_gamma 90.00
loop_
_atom_site_label
_atom_site_fract_x
_atom_site_fract_y
_atom_site_fract_z
_atom_site_occupancy
Cd1 0.0463 0.0822 0.6345 1
Sn1 0.0000 0.0000 0.0000 1
Sn2 0.0000 0.2500 0.3750 1
Cl1 0.0000 0.2500 0.1250 1
```



Cd2Sn2Cl | PBE-GGA | optimized geometry

Output
The energy relative to the lowest polymorph listed for this composition is 0 meV/atom. The uncorrected formation energy comes out at -0.5 eV per formula unit. The calculated density is 6115 kg/m3. The value obtained for the total energy is -2.434 eV per atom. For the magnetic moment, the calculation gives 0.00 μB per atom.

Cell and atoms, written as CIF:
```
data_Cd2Sn2Cl
_symmetry_space_group_name_H-M 'P 4/m b m'
_symmetry_Int_Tables_number 127
_symmetry_space_group_name_Hall '-P 4 2ab'
_cell_length_a 8.2714
_cell_length_b 8.2714
_cell_length_c 3.9511
_cell_angle_alpha 90.00
_cell_angle_beta 90.00
_cell_angle_gamma 90.00
loop_
_atom_site_label
_atom_site_fract_x
_atom_site_fract_y
_atom_site_fract_z
_atom_site_occupancy
Cd1 0.1723 0.3277 0.0000 1
Sn1 0.1324 0.6324 0.5000 1
Cl1 0.0000 0.0000 0.5000 1
```